Record 1
A plane-wave DFT calculation with PBE-GGA was carried out for crystalline PrNd2Dy7 at its relaxed geometry.

Computed properties:
calculated volume	32.59	Å³ per atom
E_form	0.02	eV per atom
crystal system	triclinic

a b c (Å): 6.201 7.167 8.025
angles (deg): 77.01 75.12 73.40
Element x y z (fractional)
Pr1 0.000 0.000 0.000
Nd1 0.201 0.798 0.600
Nd2 0.799 0.202 0.400
Dy1 0.000 0.500 0.000
Dy2 0.200 0.301 0.600
Dy3 0.400 0.101 0.199
Dy4 0.401 0.599 0.199
Dy5 0.599 0.401 0.801
Dy6 0.600 0.899 0.801
Dy7 0.800 0.699 0.400



Record 2
A plane-wave DFT calculation with PBE-GGA was carried out for crystalline PrNd3Dy2 at its relaxed geometry.

Computed properties:
calculated volume	34.87	Å³ per atom
E_form	0.32	eV per atom
crystal system	orthorhombic

a b c (Å): 10.482 10.482 10.482
angles (deg): 160.73 146.55 38.89
Element x y z (fractional)
Pr1 0.000 0.000 0.000
Nd1 0.191 0.191 0.000
Nd2 0.500 0.000 0.500
Nd3 0.809 0.809 0.000
Dy1 0.362 0.362 0.000
Dy2 0.638 0.638 0.000



Record 3
A plane-wave DFT calculation with PBE-GGA was carried out for crystalline Pr12NdDy6 at its relaxed geometry.

Computed properties:
calculated volume	35.80	Å³ per atom
E_form	0.19	eV per atom
crystal system	trigonal

a b c (Å): 8.931 8.931 8.931
angles (deg): 99.37 99.37 99.37
Element x y z (fractional)
Pr1 0.000 0.259 0.741
Pr2 0.000 0.741 0.259
Pr3 0.147 0.147 0.417
Pr4 0.147 0.417 0.147
Pr5 0.259 0.000 0.741
Pr6 0.259 0.741 0.000
Pr7 0.417 0.147 0.147
Pr8 0.583 0.853 0.853
Pr9 0.741 0.000 0.259
Pr10 0.741 0.259 0.000
Pr11 0.853 0.583 0.853
Pr12 0.853 0.853 0.583
Nd1 0.500 0.500 0.500
Dy1 0.164 0.597 0.597
Dy2 0.403 0.403 0.836
Dy3 0.403 0.836 0.403
Dy4 0.597 0.164 0.597
Dy5 0.597 0.597 0.164
Dy6 0.836 0.403 0.403



Record 4
A plane-wave DFT calculation with PBE-GGA was carried out for crystalline PrNd6Dy at its relaxed geometry.

Computed properties:
calculated volume	34.93	Å³ per atom
E_form	0.01	eV per atom
crystal system	orthorhombic

a b c (Å): 8.983 8.209 6.351
angles (deg): 74.98 61.96 43.06
Element x y z (fractional)
Pr1 0.000 0.000 0.000
Nd1 0.124 0.124 0.376
Nd2 0.251 0.251 0.749
Nd3 0.376 0.376 0.124
Nd4 0.624 0.624 0.876
Nd5 0.749 0.749 0.251
Nd6 0.876 0.876 0.624
Dy1 0.500 0.500 0.500



Record 5
A plane-wave DFT calculation with PBE-GGA was carried out for crystalline Pr5NdDy3 at its relaxed geometry.

Computed properties:
calculated volume	35.64	Å³ per atom
E_form	0.27	eV per atom
crystal system	monoclinic

a b c (Å): 10.726 10.726 11.683
angles (deg): 120.36 120.36 34.22
Element x y z (fractional)
Pr1 0.041 0.677 0.344
Pr2 0.101 0.899 0.750
Pr3 0.131 0.510 0.664
Pr4 0.323 0.959 0.156
Pr5 0.490 0.869 0.836
Pr6 0.510 0.131 0.164
Pr7 0.677 0.041 0.844
Pr8 0.869 0.490 0.336
Pr9 0.899 0.101 0.250
Pr10 0.959 0.323 0.656
Nd1 0.382 0.618 0.250
Nd2 0.618 0.382 0.750
Dy1 0.097 0.550 0.972
Dy2 0.450 0.903 0.528
Dy3 0.500 0.500 0.000
Dy4 0.500 0.500 0.500
Dy5 0.550 0.097 0.472
Dy6 0.903 0.450 0.028



Record 6
A plane-wave DFT calculation with PBE-GGA was carried out for crystalline Pr5NdDy5 at its relaxed geometry.

Computed properties:
calculated volume	34.73	Å³ per atom
E_form	0.25	eV per atom
crystal system	monoclinic

a b c (Å): 10.029 10.029 7.086
angles (deg): 110.57 110.57 35.21
Element x y z (fractional)
Pr1 0.000 0.000 0.000
Pr2 0.324 0.324 0.068
Pr3 0.324 0.324 0.580
Pr4 0.676 0.676 0.420
Pr5 0.676 0.676 0.932
Nd1 0.500 0.500 0.000
Dy1 0.123 0.123 0.624
Dy2 0.170 0.170 0.171
Dy3 0.500 0.500 0.500
Dy4 0.830 0.830 0.829
Dy5 0.877 0.877 0.376



Record 7
A plane-wave DFT calculation with PBE-GGA was carried out for crystalline PrNd3Dy4 at its relaxed geometry.

Computed properties:
calculated volume	33.77	Å³ per atom
E_form	0.03	eV per atom
crystal system	orthorhombic

a b c (Å): 11.637 7.339 6.327
angles (deg): 90.00 90.00 90.00
Element x y z (fractional)
Pr1 0.000 0.128 0.000
Pr2 0.500 0.872 0.500
Nd1 0.000 0.872 0.500
Nd2 0.250 0.128 0.335
Nd3 0.250 0.872 0.835
Nd4 0.500 0.128 0.000
Nd5 0.750 0.128 0.335
Nd6 0.750 0.872 0.835
Dy1 0.000 0.379 0.501
Dy2 0.000 0.621 0.002
Dy3 0.250 0.379 0.834
Dy4 0.250 0.621 0.334
Dy5 0.500 0.379 0.502
Dy6 0.500 0.621 0.001
Dy7 0.750 0.379 0.834
Dy8 0.750 0.621 0.334



Record 8
A plane-wave DFT calculation with PBE-GGA was carried out for crystalline PrNd8Dy4 at its relaxed geometry.

Computed properties:
calculated volume	34.95	Å³ per atom
E_form	0.22	eV per atom
crystal system	triclinic

a b c (Å): 7.175 7.443 8.671
angles (deg): 83.80 80.75 88.66
Element x y z (fractional)
Pr1 0.000 0.000 0.000
Nd1 0.189 0.279 0.769
Nd2 0.206 0.716 0.790
Nd3 0.310 0.353 0.158
Nd4 0.357 0.839 0.184
Nd5 0.643 0.161 0.816
Nd6 0.690 0.647 0.842
Nd7 0.794 0.284 0.210
Nd8 0.811 0.721 0.231
Dy1 0.000 0.000 0.500
Dy2 0.000 0.500 0.500
Dy3 0.500 0.000 0.500
Dy4 0.500 0.500 0.500



no.,spin magnetization (Bohr magnetons per cell)
1,0.0
2,0.0
3,0.0
4,0.0
5,0.0
6,0.4
7,0.0
8,0.0